Record 1
Compound: AgB2Cl8
Source: Alexandria via LeMat-Bulk
Functional: GGA-PBE
Structure: optimized geometry

Cell lengths 8.7809, 9.7008, 10.0383 Å; angles 67.38, 64.06, 63.09 degrees
Fractional positions:
1 Ag 0.9727 0.7500 0.2500
2 Ag 0.0273 0.2500 0.7500
3 B 0.8538 0.8708 0.9438
4 B 0.3316 0.3708 0.4438
5 B 0.6684 0.6292 0.5562
6 B 0.1462 0.1292 0.0562
7 Cl 0.4347 0.7512 0.5823
8 Cl 0.1041 0.9719 0.2329
9 Cl 0.7066 0.9568 0.1128
10 Cl 0.1956 0.2405 0.4808
11 Cl 0.2934 0.0432 0.8872
12 Cl 0.9169 0.2595 0.0192
13 Cl 0.8044 0.7595 0.5192
14 Cl 0.2238 0.4568 0.6128
15 Cl 0.0831 0.7405 0.9808
16 Cl 0.7683 0.7488 0.9177
17 Cl 0.6911 0.4719 0.7329
18 Cl 0.3089 0.5281 0.2671
19 Cl 0.2317 0.2512 0.0823
20 Cl 0.7762 0.5432 0.3872
21 Cl 0.5653 0.2488 0.4177
22 Cl 0.8959 0.0281 0.7671

Properties
- E_form (uncorrected): -0.733 eV per atom
- Calculated total energy: -0.1304 Ha/atom
- E above lowest polymorph: 9.8 kJ/mol of formula units
- Symmetry: No. 15
- Calculated volume: 30.31 A^3/atom

***

Record 2
Compound: LiAcZnCu
Source: Alexandria via LeMat-Bulk
Functional: GGA-PBE
Structure: optimized geometry

Cell lengths 5.0881, 5.0881, 5.0881 Å; angles 60.00, 60.00, 60.00 degrees
Fractional positions:
1 Ac 0.0000 0.0000 0.0000
2 Zn 0.7500 0.7500 0.7500
3 Cu 0.2500 0.2500 0.2500
4 Li 0.5000 0.5000 0.5000

Properties
- Calculated total energy: -0.1064 Ha/atom
- Energy relative to the elements: -47 meV/atom
- Symmetry: No. 216
- Calculated volume: 23.29 A^3/atom

***

Record 3
Compound: SrNiB3
Source: Alexandria via LeMat-Bulk
Functional: GGA-PBE
Structure: optimized geometry

Cell lengths 3.9990, 3.9990, 3.9990 Å; angles 90.00, 90.00, 90.00 degrees
Fractional positions:
1 Sr 0.5000 0.5000 0.5000
2 B 0.0000 0.5000 0.0000
3 B 0.0000 0.0000 0.5000
4 B 0.5000 0.0000 0.0000
5 Ni 0.0000 0.0000 0.0000

Properties
- Calculated total energy: -0.1759 Ha/atom
- E above lowest polymorph: 0.0 kJ/mol of formula units
- Energy relative to the elements: 713 meV/atom
- Symmetry: No. 221
- Calculated volume: 12.79 A^3/atom

***

Record 4
Compound: TbNd12Tm7
Source: Alexandria via LeMat-Bulk
Functional: GGA-PBE
Structure: optimized geometry

Cell lengths 9.4073, 9.4073, 9.4073 Å; angles 107.95, 107.95, 107.95 degrees
Fractional positions:
1 Tb 0.0000 0.0000 0.0000
2 Nd 0.7805 0.3264 0.6220
3 Nd 0.6736 0.3780 0.2195
4 Nd 0.4075 0.0540 0.2957
5 Nd 0.9460 0.7043 0.5925
6 Nd 0.3780 0.2195 0.6736
7 Nd 0.7043 0.5925 0.9460
8 Nd 0.2957 0.4075 0.0540
9 Nd 0.6220 0.7805 0.3264
10 Nd 0.0540 0.2957 0.4075
11 Nd 0.5925 0.9460 0.7043
12 Nd 0.3264 0.6220 0.7805
13 Nd 0.2195 0.6736 0.3780
14 Tm 0.1034 0.6816 0.9928
15 Tm 0.3184 0.0072 0.8966
16 Tm 0.0072 0.8966 0.3184
17 Tm 0.5000 0.5000 0.5000
18 Tm 0.9928 0.1034 0.6816
19 Tm 0.6816 0.9928 0.1034
20 Tm 0.8966 0.3184 0.0072

Properties
- Calculated total energy: -0.1656 Ha/atom
- E above lowest polymorph: 0.0 kJ/mol of formula units
- Energy relative to the elements: 150 meV/atom
- Symmetry: No. 148
- Calculated volume: 33.73 A^3/atom

***

Record 5
Compound: Zn2Cu5Au5
Source: Alexandria via LeMat-Bulk
Functional: GGA-PBE
Structure: optimized geometry

Cell lengths 3.6561, 6.4016, 9.0433 Å; angles 116.10, 90.00, 106.59 degrees
Fractional positions:
1 Zn 0.0905 0.1811 0.7507
2 Zn 0.9095 0.8189 0.2493
3 Cu 0.1751 0.3502 0.5079
4 Cu 0.7449 0.4897 0.7355
5 Cu 0.2551 0.5103 0.2645
6 Cu 0.8249 0.6498 0.4921
7 Cu 0.0000 0.0000 0.0000
8 Au 0.5000 0.0000 0.5000
9 Au 0.6637 0.3274 0.0076
10 Au 0.5873 0.1746 0.2591
11 Au 0.4127 0.8254 0.7409
12 Au 0.3363 0.6726 0.9924

Properties
- Calculated total energy: -0.1241 Ha/atom
- Energy relative to the elements: -92 meV/atom
- Symmetry: No. 12
- Calculated volume: 15.02 A^3/atom

***

Record 6
Compound: ZnCdAs
Source: Alexandria via LeMat-Bulk
Functional: GGA-PBE
Structure: optimized geometry

Cell lengths 7.1531, 7.0451, 2.9828 Å; angles 79.91, 75.85, 24.24 degrees
Fractional positions:
1 As 0.9850 0.9850 0.0150
2 Cd 0.6771 0.6771 0.3229
3 Zn 0.3378 0.3378 0.6622

Properties
- Calculated total energy: -0.0772 Ha/atom
- E above lowest polymorph: 69.1 kJ/mol of formula units
- Energy relative to the elements: 178 meV/atom
- Symmetry: No. 42
- Calculated volume: 19.80 A^3/atom

***

Record 7
Compound: CaBeBr2
Source: Alexandria via LeMat-Bulk
Functional: GGA-PBE
Structure: optimized geometry

Cell lengths 6.5394, 6.5394, 6.5394 Å; angles 147.51, 103.53, 85.55 degrees
Fractional positions:
1 Be 0.7672 0.2672 0.5000
2 Ca 0.5217 0.5217 0.0000
3 Br 0.9111 0.9111 0.0000
4 Br 0.3000 0.8000 0.5000

Properties
- E_form (uncorrected): -0.649 eV per atom
- Calculated total energy: -0.1072 Ha/atom
- E above lowest polymorph: 57.9 kJ/mol of formula units
- Symmetry: No. 44
- Calculated volume: 35.53 A^3/atom

***

Record 8
Compound: CsTa3F
Source: Alexandria via LeMat-Bulk
Functional: GGA-PBE
Structure: optimized geometry

Cell lengths 4.6362, 4.6362, 4.6362 Å; angles 90.00, 90.00, 90.00 degrees
Fractional positions:
1 Cs 0.5000 0.5000 0.5000
2 F 0.0000 0.0000 0.0000
3 Ta 0.0000 0.5000 0.0000
4 Ta 0.0000 0.0000 0.5000
5 Ta 0.5000 0.0000 0.0000

Properties
- E_form (uncorrected): 1.355 eV per atom
- Calculated total energy: -0.2316 Ha/atom
- E above lowest polymorph: 0.0 kJ/mol of formula units
- Symmetry: No. 221
- Calculated volume: 19.93 A^3/atom

***

no.,Fermi-level density of states (states/eV/atom),size of the total moment (μB per atom)
1,0.47,0.08
2,0.78,0.00
3,0.48,0.00
4,1.74,0.00
5,0.33,0.00
6,0.28,0.00
7,0.00,0.00
8,1.26,0.00